DFT (PBE-GGA) results for an optimized crystal structure of AlTlRu2.

Geometry as POSCAR:
```
AlTlRu2
1.0
5.826 0.000 0.000
0.000 8.667 0.000
-1.323 0.000 2.625
Al Tl Ru
2 2 4
Direct
0.000 0.000 0.000
0.500 0.500 0.000
0.000 0.500 0.000
0.500 0.000 0.000
0.250 0.250 0.500
0.250 0.750 0.500
0.750 0.250 0.500
0.750 0.750 0.500
```

Calculated density ... 10.9 Mg/m³
Energy of formation ... 359 meV per atom
Total magnetization ... 0.0 μB/cell
E above lowest polymorph ... 317 meV per atom